A | DFT (PBE) results for a relaxed structure of TbPmNdMg.

Results
Fermi-level density of states ... 1.108 states/eV/atom
Total magnetic moment ... 0.00 μB/f.u.
Calculated volume ... 31.32 Å³/atom

Lattice parameters (Å, degrees): 3.682 3.682 9.240 90.00 90.00 90.00
Sites, in units of the cell vectors:
Nd 0.500 0.500 0.341
Pm 0.000 0.000 0.066
Tb 0.500 0.500 0.800
Mg 0.000 0.000 0.578

B | DFT (PBE) results for a relaxed structure of TbPmNdMg.

Results
Fermi-level density of states ... 1.422 states/eV/atom
Total magnetic moment ... 0.00 μB/f.u.
Calculated volume ... 31.23 Å³/atom

Lattice parameters (Å, degrees): 5.611 5.611 5.611 60.00 60.00 60.00
Sites, in units of the cell vectors:
Mg 0.000 0.000 0.000
Tb 0.750 0.750 0.750
Pm 0.500 0.500 0.500
Nd 0.250 0.250 0.250

Energy ordering: A at the bottom, the next structure 98 meV/atom above.

A | DFT (PBE) results for a relaxed structure of PmNdYMg.

Results
Fermi-level density of states ... 1.482 states/eV/atom
Total magnetic moment ... 0.00 μB/f.u.
Calculated volume ... 31.30 Å³/atom

Lattice parameters (Å, degrees): 5.615 5.615 5.615 60.00 60.00 60.00
Sites, in units of the cell vectors:
Nd 0.750 0.750 0.750
Pm 0.000 0.000 0.000
Mg 0.500 0.500 0.500
Y 0.250 0.250 0.250

B | DFT (PBE) results for a relaxed structure of PmNdYMg.

Results
Fermi-level density of states ... 1.148 states/eV/atom
Total magnetic moment ... 0.00 μB/f.u.
Calculated volume ... 31.34 Å³/atom

Lattice parameters (Å, degrees): 3.696 3.696 9.176 90.00 90.00 90.00
Sites, in units of the cell vectors:
Mg 0.000 0.000 0.566
Y 0.500 0.500 0.346
Nd 0.000 0.000 0.074
Pm 0.500 0.500 0.798

Energy ordering: B at the bottom, the next structure 102 meV/atom above.

A | DFT (PBE) results for a relaxed structure of PrNdMg.

Results
Fermi-level density of states ... 1.291 states/eV/atom
Total magnetic moment ... 0.00 μB/f.u.
Calculated volume ... 31.75 Å³/atom

Lattice parameters (Å, degrees): 5.700 10.728 6.230 90.00 90.00 90.00
Sites, in units of the cell vectors:
Mg 0.750 0.843 0.683
Mg 0.250 0.343 0.817
Mg 0.250 0.157 0.317
Mg 0.750 0.657 0.183
Pr 0.250 0.814 0.361
Pr 0.250 0.686 0.861
Pr 0.750 0.186 0.639
Pr 0.750 0.314 0.139
Nd 0.750 0.983 0.177
Nd 0.250 0.483 0.323
Nd 0.250 0.017 0.823
Nd 0.750 0.517 0.677

B | DFT (PBE) results for a relaxed structure of PrNdMg.

Results
Fermi-level density of states ... 1.355 states/eV/atom
Total magnetic moment ... 0.00 μB/f.u.
Calculated volume ... 32.01 Å³/atom

Lattice parameters (Å, degrees): 3.800 3.800 7.172 105.36 105.36 90.00
Sites, in units of the cell vectors:
Nd 0.011 0.011 0.022
Mg 0.666 0.666 0.332
Pr 0.323 0.323 0.647

Energy ordering: B at the bottom, the next structure 70 meV/atom above.

A | DFT (PBE) results for a relaxed structure of PrNdMg.

Results
Fermi-level density of states ... 1.218 states/eV/atom
Total magnetic moment ... 0.00 μB/f.u.
Calculated volume ... 31.99 Å³/atom

Lattice parameters (Å, degrees): 5.355 5.355 7.209 111.77 90.00 90.00
Sites, in units of the cell vectors:
Nd 0.750 0.907 0.313
Nd 0.250 0.093 0.687
Mg 0.250 0.750 0.000
Mg 0.750 0.250 0.000
Pr 0.750 0.593 0.686
Pr 0.250 0.407 0.314

B | DFT (PBE) results for a relaxed structure of PrNdMg.

Results
Fermi-level density of states ... 1.159 states/eV/atom
Total magnetic moment ... 0.00 μB/f.u.
Calculated volume ... 31.56 Å³/atom

Lattice parameters (Å, degrees): 3.487 5.599 5.599 120.00 90.00 90.00
Sites, in units of the cell vectors:
Mg 0.670 0.667 0.333
Nd 0.949 0.000 0.000
Pr 0.381 0.333 0.667

C | DFT (PBE) results for a relaxed structure of PrNdMg.

Results
Fermi-level density of states ... 1.261 states/eV/atom
Total magnetic moment ... 0.00 μB/f.u.
Calculated volume ... 33.02 Å³/atom

Lattice parameters (Å, degrees): 6.207 6.207 6.761 117.32 117.32 90.00
Sites, in units of the cell vectors:
Mg 0.001 0.501 0.002
Mg 0.751 0.751 0.502
Pr 0.426 0.426 0.852
Pr 0.676 0.176 0.352
Nd 0.323 0.823 0.646
Nd 0.073 0.073 0.146

Energy ordering: A at the bottom, the next structure 79 meV/atom above.

A | DFT (PBE) results for a relaxed structure of Pr4Nd3Mg.

Results
Fermi-level density of states ... 1.363 states/eV/atom
Total magnetic moment ... 0.00 μB/f.u.
Calculated volume ... 34.50 Å³/atom

Lattice parameters (Å, degrees): 3.720 3.720 19.943 90.00 90.00 90.00
Sites, in units of the cell vectors:
Nd 0.500 0.500 0.500
Nd 0.500 0.500 0.762
Nd 0.500 0.500 0.238
Pr 0.000 0.000 0.370
Pr 0.000 0.000 0.109
Pr 0.000 0.000 0.891
Pr 0.000 0.000 0.630
Mg 0.500 0.500 0.000

B | DFT (PBE) results for a relaxed structure of Pr4Nd3Mg.

Results
Fermi-level density of states ... 1.265 states/eV/atom
Total magnetic moment ... 0.00 μB/f.u.
Calculated volume ... 34.34 Å³/atom

Lattice parameters (Å, degrees): 6.394 7.318 11.742 90.00 90.00 90.00
Sites, in units of the cell vectors:
Nd 0.493 0.874 0.000
Nd 0.150 0.878 0.242
Nd 0.650 0.122 0.742
Nd 0.150 0.878 0.758
Nd 0.650 0.122 0.258
Nd 0.993 0.126 0.500
Pr 0.992 0.630 0.500
Pr 0.961 0.617 0.000
Pr 0.492 0.370 0.000
Pr 0.645 0.633 0.261
Pr 0.145 0.367 0.239
Pr 0.461 0.383 0.500
Pr 0.145 0.367 0.761
Pr 0.645 0.633 0.739
Mg 0.481 0.883 0.500
Mg 0.981 0.117 0.000

Energy ordering: A at the bottom, the next structure 23 meV/atom above.

A | DFT (PBE) results for a relaxed structure of Pr2Nd8Mg.

Results
Fermi-level density of states ... 1.638 states/eV/atom
Total magnetic moment ... 0.00 μB/f.u.
Calculated volume ... 35.27 Å³/atom

Lattice parameters (Å, degrees): 5.724 7.807 9.939 113.12 106.74 90.00
Sites, in units of the cell vectors:
Nd 0.173 0.173 0.347
Nd 0.366 0.586 0.732
Nd 0.634 0.414 0.268
Nd 0.000 0.737 0.000
Nd 0.000 0.263 0.000
Nd 0.366 0.146 0.732
Nd 0.634 0.854 0.268
Nd 0.827 0.827 0.653
Pr 0.805 0.305 0.610
Pr 0.195 0.695 0.390
Mg 0.500 0.000 0.000

B | DFT (PBE) results for a relaxed structure of Pr2Nd8Mg.

Results
Fermi-level density of states ... 1.462 states/eV/atom
Total magnetic moment ... 0.00 μB/f.u.
Calculated volume ... 34.97 Å³/atom

Lattice parameters (Å, degrees): 6.945 10.152 10.152 39.56 59.68 59.68
Sites, in units of the cell vectors:
Nd 0.772 0.184 0.658
Nd 0.772 0.658 0.184
Nd 0.228 0.342 0.816
Nd 0.271 0.402 0.402
Nd 0.176 0.757 0.757
Nd 0.228 0.816 0.342
Nd 0.824 0.243 0.243
Nd 0.729 0.598 0.598
Pr 0.575 0.817 0.817
Pr 0.425 0.183 0.183
Mg 0.000 0.000 0.000

Energy ordering: A at the bottom, the next structure 22 meV/atom above.

A | DFT (PBE) results for a relaxed structure of Pr7Nd12Mg.

Results
Fermi-level density of states ... 1.743 states/eV/atom
Total magnetic moment ... 0.00 μB/f.u.
Calculated volume ... 35.67 Å³/atom

Lattice parameters (Å, degrees): 8.940 8.940 8.940 88.18 88.18 88.18
Sites, in units of the cell vectors:
Nd 0.746 0.264 0.133
Nd 0.498 0.615 0.140
Nd 0.385 0.860 0.502
Nd 0.615 0.140 0.498
Nd 0.736 0.867 0.254
Nd 0.867 0.254 0.736
Nd 0.264 0.133 0.746
Nd 0.140 0.498 0.615
Nd 0.133 0.746 0.264
Nd 0.502 0.385 0.860
Nd 0.254 0.736 0.867
Nd 0.860 0.502 0.385
Pr 0.852 0.610 0.926
Pr 0.074 0.148 0.390
Pr 0.610 0.926 0.852
Pr 0.148 0.390 0.074
Pr 0.500 0.500 0.500
Pr 0.926 0.852 0.610
Pr 0.390 0.074 0.148
Mg 0.000 0.000 0.000

B | DFT (PBE) results for a relaxed structure of Pr7Nd12Mg.

Results
Fermi-level density of states ... 1.305 states/eV/atom
Total magnetic moment ... 0.00 μB/f.u.
Calculated volume ... 40.13 Å³/atom

Lattice parameters (Å, degrees): 10.140 10.140 10.140 109.47 109.47 109.47
Sites, in units of the cell vectors:
Nd 0.512 0.756 0.756
Nd 0.756 0.756 0.512
Nd 0.244 0.756 0.000
Nd 0.756 0.244 0.000
Nd 0.000 0.244 0.756
Nd 0.244 0.244 0.488
Nd 0.756 0.512 0.756
Nd 0.000 0.756 0.244
Nd 0.244 0.000 0.756
Nd 0.244 0.488 0.244
Nd 0.488 0.244 0.244
Nd 0.756 0.000 0.244
Pr 0.000 0.500 0.500
Pr 0.500 0.500 0.000
Pr 0.000 0.500 0.000
Pr 0.000 0.000 0.500
Pr 0.500 0.000 0.500
Pr 0.500 0.500 0.500
Pr 0.500 0.000 0.000
Mg 0.000 0.000 0.000

Energy ordering: A at the bottom, the next structure 414 meV/atom above.

A | DFT (PBE) results for a relaxed structure of Pr2Nd2Mg.

Results
Fermi-level density of states ... 1.245 states/eV/atom
Total magnetic moment ... 0.00 μB/f.u.
Calculated volume ... 33.56 Å³/atom

Lattice parameters (Å, degrees): 3.732 3.732 12.329 98.71 98.71 90.00
Sites, in units of the cell vectors:
Nd 0.196 0.196 0.392
Nd 0.804 0.804 0.608
Pr 0.410 0.410 0.819
Pr 0.590 0.590 0.181
Mg 0.000 0.000 0.000

B | DFT (PBE) results for a relaxed structure of Pr2Nd2Mg.

Results
Fermi-level density of states ... 1.397 states/eV/atom
Total magnetic moment ... 0.00 μB/f.u.
Calculated volume ... 36.61 Å³/atom

Lattice parameters (Å, degrees): 4.531 4.531 9.475 103.83 103.83 90.00
Sites, in units of the cell vectors:
Pr 0.410 0.410 0.819
Pr 0.590 0.590 0.181
Mg 0.000 0.000 0.000
Nd 0.750 0.250 0.500
Nd 0.250 0.750 0.500

Energy ordering: A at the bottom, the next structure 394 meV/atom above.

A | DFT (PBE) results for a relaxed structure of Pr3NdMg.

Results
Fermi-level density of states ... 1.170 states/eV/atom
Total magnetic moment ... 0.00 μB/f.u.
Calculated volume ... 36.21 Å³/atom

Lattice parameters (Å, degrees): 3.839 9.826 9.789 90.00 90.00 101.31
Sites, in units of the cell vectors:
Pr 0.302 0.104 0.250
Pr 0.098 0.696 0.005
Pr 0.902 0.304 0.505
Pr 0.902 0.304 0.995
Pr 0.098 0.696 0.495
Pr 0.698 0.896 0.750
Mg 0.334 0.168 0.750
Mg 0.666 0.832 0.250
Nd 0.509 0.519 0.750
Nd 0.491 0.481 0.250

B | DFT (PBE) results for a relaxed structure of Pr3NdMg.

Results
Fermi-level density of states ... 1.236 states/eV/atom
Total magnetic moment ... 0.00 μB/f.u.
Calculated volume ... 33.72 Å³/atom

Lattice parameters (Å, degrees): 3.811 9.093 10.200 103.61 100.76 90.01
Sites, in units of the cell vectors:
Mg 0.819 0.551 0.896
Mg 0.011 0.674 0.279
Pr 0.227 0.737 0.714
Pr 0.213 0.284 0.683
Pr 0.617 0.940 0.493
Pr 0.413 0.841 0.083
Pr 0.603 0.487 0.462
Pr 0.418 0.384 0.093
Nd 0.816 0.070 0.890
Nd 0.014 0.154 0.286

Energy ordering: B at the bottom, the next structure 188 meV/atom above.

A | DFT (PBE) results for a relaxed structure of PrNd4Mg.

Results
Fermi-level density of states ... 1.247 states/eV/atom
Total magnetic moment ... 0.00 μB/f.u.
Calculated volume ... 33.61 Å³/atom

Lattice parameters (Å, degrees): 3.709 3.709 14.661 90.00 90.00 90.00
Sites, in units of the cell vectors:
Nd 0.500 0.500 0.821
Nd 0.500 0.500 0.179
Nd 0.000 0.000 0.648
Nd 0.000 0.000 0.352
Pr 0.000 0.000 0.000
Mg 0.500 0.500 0.500

B | DFT (PBE) results for a relaxed structure of PrNd4Mg.

Results
Fermi-level density of states ... 1.220 states/eV/atom
Total magnetic moment ... 0.00 μB/f.u.
Calculated volume ... 33.33 Å³/atom

Lattice parameters (Å, degrees): 6.282 6.282 12.239 104.88 104.88 60.14
Sites, in units of the cell vectors:
Nd 0.583 0.750 0.750
Nd 0.675 0.163 0.999
Nd 0.837 0.325 0.501
Nd 0.163 0.675 0.499
Nd 0.250 0.417 0.750
Nd 0.750 0.583 0.250
Nd 0.417 0.250 0.250
Nd 0.325 0.837 0.001
Mg 0.082 0.918 0.250
Mg 0.918 0.082 0.750
Pr 0.500 0.000 0.500
Pr 0.000 0.500 0.000

Energy ordering: A at the bottom, the next structure 31 meV/atom above.

A | DFT (PBE) results for a relaxed structure of Pr5Nd2Mg.

Results
Fermi-level density of states ... 0.923 states/eV/atom
Total magnetic moment ... 0.00 μB/f.u.
Calculated volume ... 34.11 Å³/atom

Lattice parameters (Å, degrees): 7.290 7.290 7.276 120.08 120.08 89.98
Sites, in units of the cell vectors:
Mg 0.222 0.222 0.444
Pr 0.222 0.222 0.944
Pr 0.222 0.722 0.944
Pr 0.722 0.722 0.944
Pr 0.722 0.222 0.944
Pr 0.722 0.722 0.444
Nd 0.722 0.222 0.444
Nd 0.222 0.722 0.444

B | DFT (PBE) results for a relaxed structure of Pr5Nd2Mg.

Results
Fermi-level density of states ... 1.309 states/eV/atom
Total magnetic moment ... 0.00 μB/f.u.
Calculated volume ... 34.54 Å³/atom

Lattice parameters (Å, degrees): 7.373 7.374 6.935 105.32 105.32 120.20
Sites, in units of the cell vectors:
Nd 0.745 0.333 0.523
Nd 0.223 0.811 0.478
Mg 0.819 0.737 0.000
Pr 0.331 0.750 0.000
Pr 0.327 0.229 0.000
Pr 0.806 0.225 0.000
Pr 0.736 0.819 0.500
Pr 0.236 0.319 0.500

Energy ordering: A at the bottom, the next structure 12 meV/atom above.